--- w ---
Computed, not measured: an optimized crystal structure of MgCd3H at the PBE-GGA level of DFT.

Results
**Symmetry**: Pm-3m (221)

Unit cell a=5.522 b=5.522 c=5.522 alpha=90.00 beta=90.00 gamma=90.00
Fractional positions:
H: 0.500 0.500 0.500
Mg: 0.000 0.000 0.000
Cd: 0.500 0.000 0.000
Cd: 0.000 0.000 0.500
Cd: 0.000 0.500 0.000

---

--- x ---
Computed, not measured: an optimized crystal structure of MgCd3H at the PBE-GGA level of DFT.

Results
**Symmetry**: Pm-3m (221)

Unit cell a=4.566 b=4.566 c=4.566 alpha=90.00 beta=90.00 gamma=90.00
Fractional positions:
H: 0.000 0.000 0.000
Cd: 0.500 0.000 0.000
Mg: 0.500 0.500 0.500
Cd: 0.000 0.500 0.000
Cd: 0.000 0.000 0.500

---

Most favorable first, least favorable last: x, w

---

--- w ---
Computed, not measured: an optimized crystal structure of Mg2CdH2 at the PBE-GGA level of DFT.

Results
**Symmetry**: I4/mmm (139)

Unit cell a=3.234 b=3.234 c=7.118 alpha=76.87 beta=76.87 gamma=90.00
Fractional positions:
Mg: 0.663 0.663 0.675
H: 0.250 0.750 0.500
Cd: 0.000 0.000 0.000
Mg: 0.337 0.337 0.325
H: 0.750 0.250 0.500

---

--- x ---
Computed, not measured: an optimized crystal structure of Mg2CdH2 at the PBE-GGA level of DFT.

Results
**Symmetry**: P4/mbm (127)

Unit cell a=7.023 b=7.023 c=2.907 alpha=90.00 beta=90.00 gamma=90.00
Fractional positions:
Cd: 0.000 0.000 0.000
Mg: 0.355 0.145 0.500
H: 0.109 0.391 0.000
Mg: 0.145 0.645 0.500
H: 0.609 0.109 0.000
Mg: 0.645 0.855 0.500
Cd: 0.500 0.500 0.000
H: 0.391 0.891 0.000
H: 0.891 0.609 0.000
Mg: 0.855 0.355 0.500

---

Most favorable first, least favorable last: w, x

---

--- w ---
Computed, not measured: an optimized crystal structure of MgCdHPd2 at the PBE-GGA level of DFT.

Results
**Symmetry**: P4/mmm (123)

Unit cell a=4.118 b=4.118 c=4.158 alpha=90.00 beta=90.00 gamma=90.00
Fractional positions:
Mg: 0.500 0.500 0.500
Pd: 0.500 0.000 0.000
H: 0.000 0.000 0.000
Pd: 0.000 0.500 0.000
Cd: 0.000 0.000 0.500

---

--- x ---
Computed, not measured: an optimized crystal structure of MgCdHPd2 at the PBE-GGA level of DFT.

Results
**Symmetry**: P4/mmm (123)

Unit cell a=4.107 b=4.107 c=4.116 alpha=90.00 beta=90.00 gamma=90.00
Fractional positions:
Mg: 0.000 0.000 0.500
Cd: 0.500 0.500 0.500
Pd: 0.500 0.000 0.000
H: 0.000 0.000 0.000
Pd: 0.000 0.500 0.000

---

Most favorable first, least favorable last: x, w